No. 1
DFT (PBE-GGA) results for DyYSc2S4 after structural relaxation.

```
DyYSc2S4
1.0
-3.6143 0.9861 0.4941
-1.5199 -2.6275 -5.8736
-1.6190 -6.3428 0.8150
Dy Y Sc S
1 1 2 4
Cartesian
-1.5695 -4.4852 -2.5292
-2.5671 -0.8208 -2.6897
-1.6190 -6.3428 0.8150
-2.6167 -2.6784 0.6546
-2.3698 -6.7328 -3.8980
-4.3834 -1.2515 -0.6665
-3.3687 -3.0744 -4.0555
-3.3845 -4.9098 -0.5090
```

Calculated values
D(E_F), states/eV per atom: 0.63
ΔE_f (raw), eV/atom: -1.921
Total magnetic moment, μB per cell: 0.00

***

No. 2
DFT (PBE-GGA) results for CuRuBr2 after structural relaxation.

```
CuRuBr2
1.0
-1.5841 2.8319 2.1521
0.1265 0.5332 3.8549
5.0149 4.7036 1.3118
Br Cu Ru
2 1 1
Cartesian
0.0613 0.2091 0.2208
1.7173 3.8252 3.4387
2.6679 6.0515 5.4891
0.8893 2.0172 1.8297
```

Calculated values
Relative energy among the computed polymorphs, kJ per mole of atoms: 26.1
D(E_F), states/eV per atom: 0.58
ΔE_f (raw), eV/atom: 0.525
Total magnetic moment, μB per cell: 0.00

***

No. 3
DFT (PBE-GGA) results for HgRu2Cl after structural relaxation.

```
HgRu2Cl
1.0
-4.1161 0.8874 1.4673
-1.2145 -3.6853 -1.1779
0.9783 -1.4869 3.6436
Cl Hg Ru
1 1 2
Cartesian
-2.6653 -1.3989 0.1447
-1.5689 -0.2997 2.5554
0.0000 0.0000 0.0000
-0.1181 -2.5861 1.2329
```

Calculated values
Relative energy among the computed polymorphs, kJ per mole of atoms: 86.2
D(E_F), states/eV per atom: 0.77
ΔE_f (raw), eV/atom: 1.099
Total magnetic moment, μB per cell: 4.66

***

No. 4
DFT (PBE-GGA) results for K2MgGeTe4 after structural relaxation.

```
K2MgGeTe4
1.0
7.3889 0.0000 0.0000
0.0000 10.0519 0.0000
0.0000 0.0000 8.9398
K Mg Ge Te
4 2 2 8
Cartesian
3.3519 3.4378 2.3681
3.3519 3.4378 6.5718
7.0464 6.6141 6.8380
7.0464 6.6141 2.1018
7.2907 1.3846 4.4699
3.5963 8.6672 0.0000
3.7904 8.5128 4.4699
0.0960 1.5391 0.0000
2.6605 1.1951 0.0000
6.3549 8.8568 4.4699
2.6708 0.7882 4.4699
6.3653 9.2637 0.0000
3.2193 6.9981 6.6115
6.9138 3.0537 2.1416
6.9138 3.0537 6.7983
3.2193 6.9981 2.3284
```

Calculated values
D(E_F), states/eV per atom: 0.02
ΔE_f (raw), eV/atom: -0.610
Total magnetic moment, μB per cell: 0.00

***

No. 5
DFT (PBE-GGA) results for Cs2AgPd after structural relaxation.

```
Cs2AgPd
1.0
4.6897 0.0000 1.0383
2.2330 4.1296 1.0244
0.1984 0.1445 10.2143
Cs Ag Pd
2 1 1
Cartesian
5.6986 2.7491 7.5916
4.4851 2.0204 1.9622
2.8836 1.0775 9.1961
2.8091 3.8287 9.5329
```

Calculated values
Relative energy among the computed polymorphs, kJ per mole of atoms: 0.0
D(E_F), states/eV per atom: 0.57
Energy relative to the elements, eV/atom: 0.034
Total magnetic moment, μB per cell: 0.00

***

No. 6
DFT (PBE-GGA) results for Ca3DyTm2Te6 after structural relaxation.

```
Ca3DyTm2Te6
1.0
-7.3374 1.2589 -1.4068
4.1996 -3.8556 -4.9899
-0.6672 -5.3614 5.5046
Ca Dy Tm Te
3 1 2 6
Cartesian
1.9586 -5.6907 -1.6452
-5.7636 -2.2673 0.7531
-1.9025 -3.9790 -0.4460
0.0000 0.0000 0.0000
0.3593 -2.1531 -3.7972
-3.4971 -0.4435 -2.5995
-4.8021 -5.1512 -0.0305
-2.4952 -3.2262 -3.4290
0.9971 -2.8068 -0.8616
-0.9212 -6.8717 -1.2358
-1.3098 -4.7318 2.5370
-2.8838 -1.0864 0.3437
```

Calculated values
D(E_F), states/eV per atom: 0.40
ΔE_f (raw), eV/atom: -1.420
Total magnetic moment, μB per cell: 0.00